1.
! Ac2PmPrY5 | Alexandria via LeMat-Bulk | PBE-GGA | relaxed; values from VASP
! Volume = 654 Å³ per cell
! Formation energy from the elements = 0.15 eV per atom
&SYSTEM
  ibrav = 0, nat = 18, ntyp = 4
/
ATOMIC_SPECIES
Ac 227.00 Ac.upf
Pm 145.00 Pm.upf
Pr 140.91 Pr.upf
Y 88.91 Y.upf
CELL_PARAMETERS angstrom
2.9247 -10.1308 0.0000
2.9247 10.1308 0.0000
0.0000 0.0000 11.0347
ATOMIC_POSITIONS crystal
Ac 0.1120 0.8880 0.5000
Ac 0.1166 0.8834 0.0909
Ac 0.8834 0.1166 0.5909
Ac 0.8880 0.1120 0.0000
Pm 0.2061 0.7939 0.7794
Pm 0.7939 0.2061 0.2794
Pr 0.4177 0.5823 0.2298
Pr 0.5823 0.4177 0.7298
Y 0.0193 0.9807 0.7968
Y 0.2854 0.7146 0.0757
Y 0.2977 0.7023 0.4754
Y 0.3931 0.6069 0.7915
Y 0.4795 0.5205 0.5068
Y 0.5205 0.4795 0.0068
Y 0.6069 0.3931 0.2915
Y 0.7023 0.2977 0.9754
Y 0.7146 0.2854 0.5757
Y 0.9807 0.0193 0.2968

2.
! CeSc4Au5 | Alexandria via LeMat-Bulk | PBE-GGA | relaxed; values from VASP
! Volume = 207 Å³ per cell
! Formation energy from the elements = -0.77 eV per atom
&SYSTEM
  ibrav = 0, nat = 10, ntyp = 3
/
ATOMIC_SPECIES
Ce 140.12 Ce.upf
Sc 44.96 Sc.upf
Au 196.97 Au.upf
CELL_PARAMETERS angstrom
3.4204 0.0000 0.0000
0.0000 3.4204 0.0000
0.0000 0.0000 17.6922
ATOMIC_POSITIONS crystal
Ce 0.0000 0.0000 0.0000
Sc 0.0000 0.0000 0.2114
Sc 0.0000 0.0000 0.4037
Sc 0.0000 0.0000 0.5963
Sc 0.0000 0.0000 0.7886
Au 0.5000 0.5000 0.1225
Au 0.5000 0.5000 0.3075
Au 0.5000 0.5000 0.5000
Au 0.5000 0.5000 0.6925
Au 0.5000 0.5000 0.8775

3.
! YHgPb2 | Alexandria via LeMat-Bulk | PBE-GGA | relaxed; values from VASP
! Volume = 114 Å³ per cell
! Formation energy from the elements = -0.16 eV per atom
&SYSTEM
  ibrav = 0, nat = 4, ntyp = 3
/
ATOMIC_SPECIES
Y 88.91 Y.upf
Hg 200.59 Hg.upf
Pb 207.20 Pb.upf
CELL_PARAMETERS angstrom
3.3978 0.0000 0.0000
0.0000 5.4900 0.0000
-0.3146 0.0000 6.1203
ATOMIC_POSITIONS crystal
Y 0.0000 0.0000 0.0000
Hg 0.5000 0.0000 0.5000
Pb 0.3422 0.5000 0.7529
Pb 0.6578 0.5000 0.2471

4.
! Fe3HW | Alexandria via LeMat-Bulk | PBE-GGA | relaxed; values from VASP
! E above lowest polymorph = 165 meV per atom
! Volume = 51 Å³ per cell
&SYSTEM
  ibrav = 0, nat = 5, ntyp = 3
/
ATOMIC_SPECIES
Fe 55.84 Fe.upf
H 1.01 H.upf
W 183.84 W.upf
CELL_PARAMETERS angstrom
2.6464 0.0000 0.0000
0.0000 2.6184 3.6558
0.0000 -2.6184 3.6558
ATOMIC_POSITIONS crystal
Fe 0.0000 0.0000 0.0000
Fe 0.5000 0.4621 0.9863
Fe 0.5000 0.9863 0.4621
H 0.5000 0.8518 0.8518
W 0.0000 0.4805 0.4805

5.
! LaCe2Ge2Pt7 | Alexandria via LeMat-Bulk | PBE-GGA | relaxed; values from VASP
! Volume = 243 Å³ per cell
! Formation energy from the elements = -0.89 eV per atom
&SYSTEM
  ibrav = 0, nat = 12, ntyp = 4
/
ATOMIC_SPECIES
La 138.91 La.upf
Ce 140.12 Ce.upf
Ge 72.64 Ge.upf
Pt 195.08 Pt.upf
CELL_PARAMETERS angstrom
2.9855 -2.9051 0.0000
2.9855 2.9051 0.0000
-2.1800 0.0000 14.0091
ATOMIC_POSITIONS crystal
La 0.0000 0.0000 0.0000
Ce 0.1179 0.1179 0.3594
Ce 0.8821 0.8821 0.6406
Ge 0.4020 0.4020 0.7435
Ge 0.5980 0.5980 0.2565
Pt 0.0625 0.5604 0.1603
Pt 0.3750 0.3750 0.5695
Pt 0.4396 0.9375 0.8397
Pt 0.5000 0.5000 0.0000
Pt 0.5604 0.0625 0.1603
Pt 0.6250 0.6250 0.4305
Pt 0.9375 0.4396 0.8397

6.
! Zr2Zn2Ag3 | Alexandria via LeMat-Bulk | PBE-GGA | relaxed; values from VASP
! Volume = 130 Å³ per cell
! Formation energy from the elements = -0.08 eV per atom
&SYSTEM
  ibrav = 0, nat = 7, ntyp = 3
/
ATOMIC_SPECIES
Zr 91.22 Zr.upf
Zn 65.41 Zn.upf
Ag 107.87 Ag.upf
CELL_PARAMETERS angstrom
5.5440 -1.7001 0.0000
5.5440 1.7001 0.0000
-0.7088 0.0000 6.9197
ATOMIC_POSITIONS crystal
Zr 0.1549 0.1549 0.3509
Zr 0.8451 0.8451 0.6491
Zn 0.4275 0.4275 0.3581
Zn 0.5725 0.5725 0.6419
Ag 0.1859 0.1859 0.8735
Ag 0.5000 0.5000 0.0000
Ag 0.8141 0.8141 0.1265